(1)
VASP calculation (PBEsol) on crystalline AgPtAu2 at its relaxed geometry.

Properties
polymorph energy (0 for the lowest one): 25.6 meV/atom
calculated formation energy: 0.0 eV/f.u.

Cell and atoms, written as CIF:
```
data_AgPtAu2
_symmetry_space_group_name_H-M 'I 4/m m m'
_symmetry_Int_Tables_number 139
_symmetry_space_group_name_Hall '-I 4 2'
_cell_length_a 4.1016
_cell_length_b 4.1016
_cell_length_c 7.7234
_cell_angle_alpha 90.00
_cell_angle_beta 90.00
_cell_angle_gamma 90.00
loop_
_atom_site_label
_atom_site_type_symbol
_atom_site_fract_x
_atom_site_fract_y
_atom_site_fract_z
Ag1 Ag 0.0000 0.0000 0.0000
Pt1 Pt 0.0000 0.0000 0.5000
Au1 Au 0.0000 0.5000 0.2500
```

=====

(2)
VASP calculation (PBEsol) on crystalline AgPtAu2 at its relaxed geometry.

Properties
polymorph energy (0 for the lowest one): 23.4 meV/atom
calculated formation energy: 0.0 eV/f.u.

Cell and atoms, written as CIF:
```
data_AgPtAu2
_symmetry_space_group_name_H-M 'P 4 m m'
_symmetry_Int_Tables_number 99
_cell_length_a 2.8175
_cell_length_b 2.8175
_cell_length_c 8.1878
_cell_angle_alpha 90.00
_cell_angle_beta 90.00
_cell_angle_gamma 90.00
loop_
_symmetry_equiv_pos_as_xyz
'x,y,z'
'-y,x,z'
'-x,-y,z'
'y,-x,z'
'-x,y,z'
'y,x,z'
'x,-y,z'
'-y,-x,z'
loop_
_atom_site_label
_atom_site_type_symbol
_atom_site_fract_x
_atom_site_fract_y
_atom_site_fract_z
Ag1 Ag 0.0000 0.0000 0.0000
Pt1 Pt 0.5000 0.5000 0.7570
Au1 Au 0.0000 0.0000 0.5120
Au2 Au 0.5000 0.5000 0.2538
```